No. 1
K2LaOs after structural relaxation, computed with PBE.

Cell and atoms, written as POSCAR:
```
K2LaOs
1.0
4.341 0.000 0.000
0.000 4.341 0.000
0.000 0.000 12.608
K La Os
4 2 2
direct
0.000 0.500 0.250
0.000 0.500 0.750
0.500 0.000 0.250
0.500 0.000 0.750
0.000 0.000 0.000
0.500 0.500 0.500
0.000 0.000 0.500
0.500 0.500 0.000
```

Calculated values
DFT formation energy	3.52	eV per formula unit
polymorph energy (0 for the lowest one)	0.428	eV/atom
size of the total moment	1.278	μB/cell
total energy	-14.83	eV per formula unit



No. 2
KLaOs2 after structural relaxation, computed with PBE.

Cell and atoms, written as POSCAR:
```
KLaOs2
1.0
3.154 0.000 0.000
0.000 4.831 0.000
0.000 0.000 7.408
K La Os
1 1 2
direct
0.000 0.000 0.000
0.000 0.000 0.500
0.500 0.500 0.346
0.500 0.500 0.654
```

Calculated values
DFT formation energy	3.65	eV per formula unit
polymorph energy (0 for the lowest one)	0.600	eV/atom
size of the total moment	0.001	μB/cell
total energy	-24.84	eV per formula unit



No. 3
K2LaOs after structural relaxation, computed with PBE.

Cell and atoms, written as POSCAR:
```
K2LaOs
1.0
4.953 0.000 0.000
0.000 4.953 0.000
0.000 0.000 5.604
K La Os
2 1 1
direct
0.000 0.000 0.237
0.000 0.000 0.763
0.500 0.500 0.500
0.500 0.500 0.000
```

Calculated values
DFT formation energy	4.81	eV per formula unit
polymorph energy (0 for the lowest one)	0.753	eV/atom
size of the total moment	0.317	μB/cell
total energy	-13.54	eV per formula unit



No. 4
KLaTiOs2 after structural relaxation, computed with PBE.

Cell and atoms, written as POSCAR:
```
KLaTiOs2
1.0
5.008 0.000 0.000
0.000 5.008 0.000
0.000 0.000 5.059
K La Ti Os
1 1 1 2
direct
0.000 0.000 0.000
0.500 0.500 0.500
0.500 0.500 0.000
0.000 0.500 0.500
0.500 0.000 0.500
```

Calculated values
DFT formation energy	10.13	eV per formula unit
size of the total moment	1.549	μB/cell
total energy	-26.25	eV per formula unit



Question: Among the records above, which one has the lowest total energy?
Answer: KLaTiOs2



Question: The highest total energy belongs to which entry?
Answer: number 3



Question: Which of these has the lowest DFT formation energy?
Answer: number 1